Entry from Alexandria via LeMat-Bulk: crystalline RbLi2Si2 at its relaxed geometry (GGA-PBE).

a b c (Å): 5.0275 5.0275 9.3951
angles (deg): 90.00 90.00 90.00
Space group I4/mmm (No. 139)
Symmetry-distinct sites (fractional):
1 Rb 0.0000 0.0000 0.0000
2 Li 0.0000 0.5000 0.2500
3 Si 0.0000 0.0000 0.3815

Output
E = -3.0991 eV per atom
Calculated volume = 23.747 Å³ per atom
Raw formation energy = 29 meV per atom
E above lowest polymorph = 0.0 meV/atom


Entry from Alexandria via LeMat-Bulk: crystalline AlCr2In at its relaxed geometry (GGA-PBE).

a b c (Å): 3.1408 3.1408 6.4087
angles (deg): 90.00 90.00 90.00
Space group P4/mmm (No. 123)
Symmetry-distinct sites (fractional):
1 Al 0.0000 0.0000 0.0000
2 Cr 0.5000 0.5000 0.2297
3 In 0.0000 0.0000 0.5000

Output
E = -6.2165 eV per atom
Calculated volume = 15.805 Å³ per atom


Entry from Alexandria via LeMat-Bulk: crystalline ZnFe2Os at its relaxed geometry (GGA-PBE).

a b c (Å): 2.6446 3.6422 5.2749
angles (deg): 90.00 90.00 90.00
Space group Pmm2 (No. 25)
Symmetry-distinct sites (fractional):
1 Zn 0.0000 0.0000 0.0000
2 Fe 0.0000 0.0000 0.4949
3 Fe 0.5000 0.5000 0.2388
4 Os 0.5000 0.5000 0.7132

Output
E = -7.1869 eV per atom
Calculated volume = 12.702 Å³ per atom


Entry from Alexandria via LeMat-Bulk: crystalline SO at its relaxed geometry (GGA-PBE).

a b c (Å): 8.6168 2.7289 2.7311
angles (deg): 90.00 108.21 90.00
Space group Cm (No. 8)
Symmetry-distinct sites (fractional):
1 S 0.0000 0.0000 0.0000
2 O 0.1818 0.0000 0.1791

Output
E = -4.9387 eV per atom
Calculated volume = 15.251 Å³ per atom
Raw formation energy = -396 meV per atom
E above lowest polymorph = 165.9 meV/atom


Entry from Alexandria via LeMat-Bulk: crystalline PaCuNi2 at its relaxed geometry (GGA-PBE).

a b c (Å): 4.1002 4.1002 12.8624
angles (deg): 90.00 90.00 120.00
Space group R-3m (No. 166, hexagonal axes)
Symmetry-distinct sites (fractional):
1 Pa 0.0000 0.0000 0.0000
2 Cu 0.0000 0.0000 0.5000
3 Ni 0.0000 0.0000 0.2150

Output
E = -6.5508 eV per atom
Calculated volume = 15.606 Å³ per atom
E above lowest polymorph = 47.0 meV/atom


Entry from Alexandria via LeMat-Bulk: crystalline Ba6Sb3As at its relaxed geometry (GGA-PBE).

a b c (Å): 8.4894 9.1509 14.7248
angles (deg): 90.00 124.53 90.00
Space group P2_1/c (No. 14)
Symmetry-distinct sites (fractional):
1 Ba 0.0969 0.0744 0.2433
2 Ba 0.2552 0.6951 0.0769
3 Ba 0.3766 0.1800 0.0670
4 Sb 0.2835 0.0811 0.7539
5 Sb 0.5000 0.0000 0.5000
6 As 0.0000 0.0000 0.0000

Output
E = -3.8668 eV per atom
Calculated volume = 47.120 Å³ per atom
Raw formation energy = -1012 meV per atom


Entry from Alexandria via LeMat-Bulk: crystalline HfNbVPb2 at its relaxed geometry (GGA-PBE).

a b c (Å): 5.4391 5.4391 4.4906
angles (deg): 90.00 90.00 90.00
Space group P4/mmm (No. 123)
Symmetry-distinct sites (fractional):
1 Hf 0.0000 0.0000 0.0000
2 Nb 0.5000 0.5000 0.5000
3 V 0.5000 0.5000 0.0000
4 Pb 0.0000 0.5000 0.5000

Output
E = -6.1671 eV per atom
Calculated volume = 26.570 Å³ per atom


Entry from Alexandria via LeMat-Bulk: crystalline Ho at its relaxed geometry (GGA-PBE).

a b c (Å): 3.5427 3.5427 25.5034
angles (deg): 90.00 90.00 120.00
Space group R-3m (No. 166, hexagonal axes)
Symmetry-distinct sites (fractional):
1 Ho 0.0000 0.0000 0.0000
2 Ho 0.0000 0.0000 0.2222

Output
E = -4.5778 eV per atom
Calculated volume = 30.800 Å³ per atom
E above lowest polymorph = 0.0 meV/atom


Entry from Alexandria via LeMat-Bulk: crystalline NiSn3Os at its relaxed geometry (GGA-PBE).

a b c (Å): 5.1039 5.1039 5.1039
angles (deg): 90.00 90.00 90.00
Space group Pm-3m (No. 221)
Symmetry-distinct sites (fractional):
1 Ni 0.0000 0.0000 0.0000
2 Sn 0.0000 0.5000 0.5000
3 Os 0.5000 0.5000 0.5000

Output
E = -5.1049 eV per atom
Calculated volume = 26.592 Å³ per atom


Entry from Alexandria via LeMat-Bulk: crystalline LiCd2InHg5 at its relaxed geometry (GGA-PBE).

a b c (Å): 3.4599 17.5400 14.4235
angles (deg): 90.00 90.00 90.00
Space group Cmc2_1 (No. 36)
Symmetry-distinct sites (fractional):
1 Li 0.0000 0.0583 0.0000
2 Cd 0.0000 0.3677 0.3283
3 Cd 0.0000 0.3986 0.9751
4 In 0.0000 0.3280 0.6458
5 Hg 0.0000 0.0147 0.3258
6 Hg 0.0000 0.1545 0.6499
7 Hg 0.0000 0.1908 0.3202
8 Hg 0.0000 0.2209 0.9763
9 Hg 0.0000 0.4974 0.6428

Output
E = -0.9476 eV per atom
Calculated volume = 24.314 Å³ per atom


Entry from Alexandria via LeMat-Bulk: crystalline K2Cd2Ag at its relaxed geometry (GGA-PBE).

a b c (Å): 10.8951 6.7506 9.3943
angles (deg): 90.00 100.34 90.00
Space group C2/c (No. 15)
Symmetry-distinct sites (fractional):
1 K 0.1512 0.1200 0.1598
2 Cd 0.1259 0.3751 0.5058
3 Ag 0.0000 0.4071 0.7500

Output
E = -1.4327 eV per atom
Calculated volume = 33.986 Å³ per atom
E above lowest polymorph = 0.0 meV/atom


Entry from Alexandria via LeMat-Bulk: crystalline DyPuTlPd at its relaxed geometry (GGA-PBE).

a b c (Å): 7.3596 7.3596 7.3596
angles (deg): 90.00 90.00 90.00
Space group F-43m (No. 216)
Symmetry-distinct sites (fractional):
1 Dy 0.0000 0.0000 0.0000
2 Pu 0.0000 0.0000 0.5000
3 Tl 0.2500 0.2500 0.2500
4 Pd 0.2500 0.2500 0.7500

Output
E = -6.9062 eV per atom
Calculated volume = 24.914 Å³ per atom


Entry from Alexandria via LeMat-Bulk: crystalline ZrAlSi at its relaxed geometry (GGA-PBE).

a b c (Å): 4.1775 5.4030 5.7852
angles (deg): 117.79 111.10 90.06
Space group P-1 (No. 2)
Symmetry-distinct sites (fractional):
1 Zr 0.2011 0.2008 0.4013
2 Al 0.5001 0.2454 0.9997
3 Si 0.1240 0.6242 0.2474

Output
E = -6.4018 eV per atom
Calculated volume = 17.583 Å³ per atom
Raw formation energy = -497 meV per atom


Entry from Alexandria via LeMat-Bulk: crystalline YBeAu2 at its relaxed geometry (GGA-PBE).

a b c (Å): 3.4370 3.4370 6.4462
angles (deg): 90.00 90.00 90.00
Space group P4mm (No. 99)
Symmetry-distinct sites (fractional):
1 Y 0.0000 0.0000 0.0000
2 Be 0.5000 0.5000 0.6521
3 Au 0.0000 0.0000 0.5506
4 Au 0.5000 0.5000 0.2655

Output
E = -4.5118 eV per atom
Calculated volume = 19.037 Å³ per atom


Entry from Alexandria via LeMat-Bulk: crystalline Li2ThMgIn4 at its relaxed geometry (GGA-PBE).

a b c (Å): 4.8450 4.8450 27.9065
angles (deg): 90.00 90.00 120.00
Space group R-3m (No. 166, hexagonal axes)
Symmetry-distinct sites (fractional):
1 Li 0.0000 0.0000 0.2406
2 Th 0.0000 0.0000 0.0000
3 Mg 0.0000 0.0000 0.5000
4 In 0.0000 0.0000 0.1236
5 In 0.0000 0.0000 0.3932

Output
E = -3.1819 eV per atom
Calculated volume = 23.638 Å³ per atom